(1)
Compound: TmThZn
Source: Alexandria via LeMat-Bulk
Functional: PBE
Structure: relaxed

Results
Distance to the lowest polymorph of the same formula ... 25 meV/atom
Calculated formation energy ... -0.124 eV per atom

a b c (Å): 3.5473 5.2487 8.6215
angles (deg): 90.00 101.87 90.00
With the nearest neighbours (Å) after each atom.
Sites, in units of the cell vectors:
Zn  0.4347  0.2500  0.8694  6 Tm 2.98-3.17, 2 Th 3.20
Zn  0.5653  0.7500  0.1306  6 Tm 2.98-3.17, 2 Th 3.20
Tm  0.9233  0.7500  0.8466  6 Zn 2.98-3.17
Tm  0.0767  0.2500  0.1534  6 Zn 2.98-3.17
Th  0.7772  0.2500  0.5544  2 Zn 3.20, 6 Th 3.30-3.55
Th  0.2228  0.7500  0.4456  2 Zn 3.20, 6 Th 3.30-3.55

(2)
Compound: Sm4Rh2Br3
Source: Alexandria via LeMat-Bulk
Functional: PBE
Structure: relaxed

Results
Energy relative to the elements, uncorrected ... -1.201 eV per atom

a b c (Å): 4.0415 4.0415 18.7196
angles (deg): 90.04 89.96 120.00
With the nearest neighbours (Å) after each atom.
Sites, in units of the cell vectors:
Sm  0.3335  0.6665  0.8724  3 Rh 2.77
Sm  0.9994  0.0006  0.2982  3 Rh 2.89, 3 Br 3.04
Sm  0.0006  0.9994  0.7018  3 Rh 2.89, 3 Br 3.04
Sm  0.6665  0.3335  0.1276  3 Rh 2.77
Rh  0.6670  0.3330  0.7924  6 Sm 2.77-2.89
Rh  0.3330  0.6670  0.2076  6 Sm 2.77-2.89
Br  0.6658  0.3342  0.4021  3 Sm 3.04
Br  0.0000  0.0000  0.0000  6 Sm 3.34
Br  0.3342  0.6658  0.5979  3 Sm 3.04

(3)
Compound: Os2Ru
Source: Alexandria via LeMat-Bulk
Functional: PBE
Structure: relaxed

Results
Distance to the lowest polymorph of the same formula ... 570 meV/atom
Calculated formation energy ... 0.552 eV per atom

a b c (Å): 4.9401 4.9401 4.9401
angles (deg): 104.20 104.20 120.62
With the nearest neighbours (Å) after each atom.
Sites, in units of the cell vectors:
Os  0.3583  0.1417  0.5000  1 Os 2.43, 4 Ru 2.64
Os  0.8583  0.3583  0.2166  1 Os 2.43, 4 Ru 2.64
Os  0.1417  0.6417  0.7834  1 Os 2.43, 4 Ru 2.64
Os  0.6417  0.8583  0.5000  1 Os 2.43, 4 Ru 2.64
Ru  0.2500  0.2500  0.0000  2 Ru 2.45, 8 Os 2.64
Ru  0.7500  0.7500  0.0000  2 Ru 2.45, 8 Os 2.64

(4)
Compound: LaLuInAu
Source: Alexandria via LeMat-Bulk
Functional: PBE
Structure: relaxed

Results
Calculated formation energy ... -0.577 eV per atom

a b c (Å): 5.3274 5.3274 5.3274
angles (deg): 60.00 60.00 60.00
With the nearest neighbours (Å) after each atom.
Sites, in units of the cell vectors:
In  0.2500  0.2500  0.2500  4 Lu 3.26, 4 La 3.26
Lu  0.5000  0.5000  0.5000  4 Au 3.26, 4 In 3.26
Au  0.7500  0.7500  0.7500  4 La 3.26, 4 Lu 3.26
La  0.0000  0.0000  0.0000  4 In 3.26, 4 Au 3.26